Below is a geometry-optimized AlCoIO2 structure, with properties calculated at the PBE+U level.

Properties
space-group type: P4/mmm, No. 123
energy relative to the lowest polymorph listed for this composition: 869 meV per atom

Unit cell a=3.921 b=3.921 c=5.572 alpha=90.00 beta=90.00 gamma=90.00
Fractional positions:
Al 0.000 0.000 0.000
Co 0.500 0.500 0.500
I 0.500 0.500 0.000
O 0.000 0.500 0.500
O 0.500 0.000 0.500